[1]
Computed, not measured: a relaxed SmThSi2 crystal at the PBE level of DFT.

Cell: 3.9651 5.8860 8.1224 Å, 90.00 90.00 90.00°
With the nearest neighbours (Å) after each atom.
Fractional coordinates of all 8 atoms:
Sm  0.0000  0.1319  0.6803  7 Si 3.03-3.22
Sm  0.0000  0.8681  0.1803  7 Si 3.03-3.22
Th  0.5000  0.3691  0.3203  7 Si 3.04-3.24
Th  0.5000  0.6309  0.8203  7 Si 3.04-3.24
Si  0.0000  0.6270  0.5367  2 Si 2.54
Si  0.0000  0.3730  0.0367  2 Si 2.54
Si  0.5000  0.8753  0.4628  2 Si 2.54
Si  0.5000  0.1247  0.9628  2 Si 2.54

Results
energy relative to the lowest polymorph listed for this composition: 0.00 eV per formula unit
DOS at the Fermi energy: 0.68 states/eV per atom
symmetry: Pmc2_1, No. 26
raw formation energy: -0.733 eV per atom

=====

[2]
Computed, not measured: a relaxed PbW2Cl crystal at the PBE level of DFT.

Cell: 6.4171 6.4171 6.4171 Å, 150.18 134.03 55.76°
With the nearest neighbours (Å) after each atom.
Fractional coordinates of all 4 atoms:
Cl  0.5556  0.5556  0.0000  2 W 2.87
Pb  0.2644  0.7644  0.5000  6 W 3.00-3.05, 2 Pb 3.30
W  0.9177  0.9177  0.0000  2 W 2.42
W  0.7622  0.2622  0.5000  2 W 2.42

Results
energy relative to the lowest polymorph listed for this composition: 2.66 eV per formula unit
DOS at the Fermi energy: 0.45 states/eV per atom
symmetry: Imm2, No. 44
raw formation energy: 0.874 eV per atom

=====

[3]
Computed, not measured: a relaxed CrGa2Co crystal at the PBE level of DFT.

Cell: 6.7075 6.7075 5.4315 Å, 51.87 51.87 90.00°
With the nearest neighbours (Å) after each atom.
Fractional coordinates of all 8 atoms:
Cr  0.5000  0.5000  0.0000  4 Ga 2.57, 2 Co 2.65
Cr  0.2500  0.7500  0.5000  4 Ga 2.57, 2 Co 2.65
Co  0.0000  0.0000  0.0000  4 Ga 2.36
Co  0.7500  0.2500  0.5000  4 Ga 2.36
Ga  0.6483  0.1250  0.2500  2 Co 2.36, 2 Cr 2.57
Ga  0.1017  0.6250  0.2500  2 Co 2.36, 2 Cr 2.57
Ga  0.3750  0.3517  0.7500  2 Co 2.36, 2 Cr 2.57
Ga  0.8750  0.8983  0.7500  2 Co 2.36, 2 Cr 2.57

Results
E_form: 0.311 eV per atom
DOS at the Fermi energy: 1.30 states/eV per atom
symmetry: I-42d, No. 122

=====

[4]
Computed, not measured: a relaxed TiTlCuBr6 crystal at the PBE level of DFT.

Cell: 7.1912 7.1903 7.1889 Å, 93.52 86.47 54.15°
With the nearest neighbours (Å) after each atom.
Fractional coordinates of all 9 atoms:
Ti  0.3411  0.3411  0.5000  6 Br 2.47-2.63
Tl  0.0254  0.0255  0.0000  6 Br 3.30-3.43
Cu  0.6178  0.6178  0.5000  4 Br 2.42-2.50
Br  0.0005  0.4021  0.3275  1 Cu 2.42, 1 Ti 2.63
Br  0.4021  0.0005  0.6725  1 Cu 2.42, 1 Ti 2.63
Br  0.6501  0.3148  0.6785  1 Cu 2.50, 1 Ti 2.55
Br  0.0416  0.6065  0.7638  1 Ti 2.47
Br  0.3147  0.6501  0.3215  1 Cu 2.50, 1 Ti 2.55
Br  0.6065  0.0416  0.2361  1 Ti 2.47

Results
symmetry: C2, No. 5
raw formation energy: -0.871 eV per atom